First-principles (PBE-GGA) data for crystalline MnReTc2Sb at its relaxed geometry, as listed in the Alexandria database.

Space-group type: P4/mmm
E above lowest polymorph: 0.123 eV/atom
N(E_F): 5.69 states/eV/f.u.
Spin magnetization: 1.42 μB/f.u.
Raw formation energy: 1.470 eV/atom

Structure (CIF):
```
data_MnReTc2Sb
_chemical_formula_sum 'Mn1 Re1 Tc2 Sb1'
_cell_length_a 4.3632
_cell_length_b 4.3632
_cell_length_c 4.6495
_cell_angle_alpha 90.00
_cell_angle_beta 90.00
_cell_angle_gamma 90.00
_space_group_name_H-M_alt 'P 1'
_space_group_IT_number 1
loop_
_space_group_symop_operation_xyz
'x,y,z'
loop_
_atom_site_label
_atom_site_fract_x
_atom_site_fract_y
_atom_site_fract_z
Mn1 0.0000 0.0000 0.0000
Re1 0.5000 0.5000 0.5000
Tc1 0.0000 0.5000 0.0000
Tc2 0.5000 0.0000 0.0000
Sb1 0.0000 0.0000 0.5000
```


First-principles (PBE-GGA) data for crystalline MnReTc2Sb at its relaxed geometry, as listed in the Alexandria database.

Space-group type: P4/mmm
E above lowest polymorph: 0.000 eV/atom
N(E_F): 6.15 states/eV/f.u.
Spin magnetization: 3.87 μB/f.u.
Raw formation energy: 1.347 eV/atom

Structure (CIF):
```
data_MnReTc2Sb
_chemical_formula_sum 'Mn1 Re1 Tc2 Sb1'
_cell_length_a 4.7182
_cell_length_b 4.7182
_cell_length_c 4.7020
_cell_angle_alpha 90.00
_cell_angle_beta 90.00
_cell_angle_gamma 90.00
_space_group_name_H-M_alt 'P 1'
_space_group_IT_number 1
loop_
_space_group_symop_operation_xyz
'x,y,z'
loop_
_atom_site_label
_atom_site_fract_x
_atom_site_fract_y
_atom_site_fract_z
Mn1 0.0000 0.0000 0.0000
Re1 0.0000 0.0000 0.5000
Tc1 0.0000 0.5000 0.5000
Tc2 0.5000 0.0000 0.5000
Sb1 0.5000 0.5000 0.0000
```


First-principles (PBE-GGA) data for crystalline MnRe2TcSb at its relaxed geometry, as listed in the Alexandria database.

Space-group type: P4/mmm
N(E_F): 7.84 states/eV/f.u.
Spin magnetization: 2.49 μB/f.u.
Raw formation energy: 2.578 eV/atom

Structure (CIF):
```
data_MnRe2TcSb
_chemical_formula_sum 'Mn1 Re2 Tc1 Sb1'
_cell_length_a 4.8003
_cell_length_b 4.8003
_cell_length_c 4.5271
_cell_angle_alpha 90.00
_cell_angle_beta 90.00
_cell_angle_gamma 90.00
_space_group_name_H-M_alt 'P 1'
_space_group_IT_number 1
loop_
_space_group_symop_operation_xyz
'x,y,z'
loop_
_atom_site_label
_atom_site_fract_x
_atom_site_fract_y
_atom_site_fract_z
Mn1 0.0000 0.0000 0.0000
Re1 0.0000 0.5000 0.5000
Re2 0.5000 0.0000 0.5000
Tc1 0.5000 0.5000 0.0000
Sb1 0.0000 0.0000 0.5000
```


First-principles (PBE-GGA) data for crystalline MnReSbTe2 at its relaxed geometry, as listed in the Alexandria database.

Space-group type: P4/mmm
E above lowest polymorph: 0.000 eV/atom
N(E_F): 5.64 states/eV/f.u.
Spin magnetization: 3.68 μB/f.u.
Raw formation energy: 0.984 eV/atom

Structure (CIF):
```
data_MnReSbTe2
_chemical_formula_sum 'Mn1 Re1 Sb1 Te2'
_cell_length_a 5.3770
_cell_length_b 5.3770
_cell_length_c 5.0916
_cell_angle_alpha 90.00
_cell_angle_beta 90.00
_cell_angle_gamma 90.00
_space_group_name_H-M_alt 'P 1'
_space_group_IT_number 1
loop_
_space_group_symop_operation_xyz
'x,y,z'
loop_
_atom_site_label
_atom_site_fract_x
_atom_site_fract_y
_atom_site_fract_z
Mn1 0.0000 0.0000 0.0000
Re1 0.5000 0.5000 0.5000
Sb1 0.5000 0.5000 0.0000
Te1 0.0000 0.5000 0.5000
Te2 0.5000 0.0000 0.5000
```


> The lowest N(E_F) belongs to which entry?

MnReSbTe2


What did the second record say?
First-principles (PBE-GGA) data for crystalline MnReTc2Sb at its relaxed geometry, as listed in the Alexandria database.

Space-group type: P4/mmm
E above lowest polymorph: 0.000 eV/atom
N(E_F): 6.15 states/eV/f.u.
Spin magnetization: 3.87 μB/f.u.
Raw formation energy: 1.347 eV/atom

Structure (CIF):
```
data_MnReTc2Sb
_chemical_formula_sum 'Mn1 Re1 Tc2 Sb1'
_cell_length_a 4.7182
_cell_length_b 4.7182
_cell_length_c 4.7020
_cell_angle_alpha 90.00
_cell_angle_beta 90.00
_cell_angle_gamma 90.00
_space_group_name_H-M_alt 'P 1'
_space_group_IT_number 1
loop_
_space_group_symop_operation_xyz
'x,y,z'
loop_
_atom_site_label
_atom_site_fract_x
_atom_site_fract_y
_atom_site_fract_z
Mn1 0.0000 0.0000 0.0000
Re1 0.0000 0.0000 0.5000
Tc1 0.0000 0.5000 0.5000
Tc2 0.5000 0.0000 0.5000
Sb1 0.5000 0.5000 0.0000
```


> raw formation energy of number 1 (MnReTc2Sb)?

1.470 eV/atom